Entry 1:
VASP calculation (PBE) on crystalline DyErMg2Ag4 at its relaxed geometry.

Its volume is 166.0 Å³ per cell. The total DFT energy (no corrections) is -3.254 eV per atom.

Unit cell a=4.8969 b=4.8969 c=6.9246 alpha=90.00 beta=90.00 gamma=90.00
With the nearest neighbours (Å) after each atom.
Fractional coordinates of all 8 atoms:
Ag: 0.0000 0.5000 0.7505  4 Mg 3.00, 2 Er 3.00, 2 Dy 3.00
Ag: 0.5000 0.0000 0.7505  4 Mg 3.00, 2 Er 3.00, 2 Dy 3.00
Dy: 0.0000 0.0000 0.5000  8 Ag 3.00
Er: 0.5000 0.5000 0.0000  8 Ag 3.00
Mg: 0.0000 0.0000 0.0000  8 Ag 3.00
Mg: 0.5000 0.5000 0.5000  8 Ag 3.00
Ag: 0.5000 0.0000 0.2495  2 Er 3.00, 4 Mg 3.00, 2 Dy 3.00
Ag: 0.0000 0.5000 0.2495  2 Er 3.00, 4 Mg 3.00, 2 Dy 3.00



Entry 2:
VASP calculation (PBE) on crystalline Dy2ErZn3NiAg2 at its relaxed geometry.

Its volume is 179.5 Å³ per cell. The total DFT energy (no corrections) is -3.552 eV per atom. The formation energy from the elements comes out at -0.35 eV/atom.

Unit cell a=4.0020 b=7.1914 c=7.1914 alpha=119.87 beta=90.00 gamma=90.00
With the nearest neighbours (Å) after each atom.
Fractional coordinates of all 9 atoms:
Ni: 0.0000 0.0016 0.0016  6 Zn 2.59-2.60, 1 Er 2.80, 2 Dy 2.83
Er: 0.0000 0.3906 0.3906  1 Ni 2.80, 4 Ag 2.97
Zn: 0.5000 0.0005 0.2294  2 Ni 2.59, 2 Ag 2.84-2.87, 2 Zn 2.85-2.86
Dy: 0.0000 0.6074 0.0002  1 Ni 2.83, 4 Ag 2.99, 2 Zn 3.17
Zn: 0.5000 0.7713 0.7713  2 Ni 2.60, 2 Ag 2.84, 2 Zn 2.86
Ag: 0.5000 0.6646 0.3341  3 Zn 2.84-2.87, 2 Er 2.97, 4 Dy 2.99
Zn: 0.5000 0.2294 0.0005  2 Ni 2.59, 2 Ag 2.84-2.87, 2 Zn 2.85-2.86
Ag: 0.5000 0.3341 0.6646  3 Zn 2.84-2.87, 2 Er 2.97, 4 Dy 2.99
Dy: 0.0000 0.0002 0.6074  1 Ni 2.83, 4 Ag 2.99, 2 Zn 3.17